First-principles (PBE-GGA) data for a relaxed structure of Sm2TlIn, as listed in Alexandria via LeMat-Bulk.

```
Sm2TlIn
1.0
0.000 3.848 3.848
3.848 0.000 3.848
3.848 3.848 0.000
Sm Tl In
2 1 1
Cartesian
1.924 1.924 1.924
5.772 5.772 5.772
0.000 0.000 0.000
3.848 3.848 3.848
```

Values from the calculation:
Fermi-level density of states   2.1 states/eV/cell
Space group   Fm-3m (225)
Energy of formation from the pure elements   -0.4339 eV per atom